A relaxed CoSnB2Pb crystal. Source: Alexandria, functional PBE.

Results
V, Å³ per cell: 98
Spin magnetization, μB per atom: 0.139
Energy of formation, eV per formula unit: 8.49
Space-group type: P4/mmm (123)
E_tot, eV per cell: -19.68

The structure in CIF format:
```
data_CoSnB2Pb
_chemical_formula_sum 'Co1 Sn1 B2 Pb1'
_space_group_name_H-M_alt 'P 1'
_space_group_IT_number 1
_space_group_name_Hall 'P 1'
_cell_length_a 4.460
_cell_length_b 4.918
_cell_length_c 4.460
_cell_angle_alpha 90.00
_cell_angle_beta 90.00
_cell_angle_gamma 90.00
loop_
_atom_site_label
_atom_site_fract_x
_atom_site_fract_y
_atom_site_fract_z
Pb1 0.500 0.500 0.500
B1 0.000 0.000 0.500
B2 0.500 0.000 0.000
Co1 0.000 0.500 0.000
Sn1 0.000 0.000 0.000
```



A relaxed CrSiAu3 crystal. Source: Alexandria, functional PBE.

Results
V, Å³ per cell: 112
Spin magnetization, μB per atom: 0.000
Space-group type: Pm-3m (221)
Formation energy from raw total energies, eV/f.u.: 6.2
E_tot, eV per cell: -18.64

The structure in CIF format:
```
data_CrSiAu3
_chemical_formula_sum 'Cr1 Si1 Au3'
_space_group_name_H-M_alt 'P 1'
_space_group_IT_number 1
_space_group_name_Hall 'P 1'
_cell_length_a 4.816
_cell_length_b 4.816
_cell_length_c 4.816
_cell_angle_alpha 90.00
_cell_angle_beta 90.00
_cell_angle_gamma 90.00
loop_
_atom_site_label
_atom_site_fract_x
_atom_site_fract_y
_atom_site_fract_z
Cr1 0.000 0.000 0.000
Si1 0.500 0.500 0.500
Au1 0.000 0.500 0.000
Au2 0.000 0.000 0.500
Au3 0.500 0.000 0.000
```



A relaxed ScMo2Se crystal. Source: Alexandria, functional PBE.

Results
V, Å³ per cell: 71
Spin magnetization, μB per atom: 0.000
Space-group type: R-3m (166)
Formation energy from raw total energies, eV/f.u.: 1.0
E_tot, eV per cell: -30.52

The structure in CIF format:
```
data_ScMo2Se
_chemical_formula_sum 'Sc1 Mo2 Se1'
_space_group_name_H-M_alt 'P 1'
_space_group_IT_number 1
_space_group_name_Hall 'P 1'
_cell_length_a 8.653
_cell_length_b 8.653
_cell_length_c 8.653
_cell_angle_alpha 20.77
_cell_angle_beta 20.77
_cell_angle_gamma 20.77
loop_
_atom_site_label
_atom_site_fract_x
_atom_site_fract_y
_atom_site_fract_z
Mo1 0.010 0.010 0.010
Mo2 0.490 0.490 0.490
Sc1 0.250 0.250 0.250
Se1 0.750 0.750 0.750
```



A relaxed La2Sc crystal. Source: Alexandria, functional PBE.

Results
V, Å³ per cell: 201
Spin magnetization, μB per atom: 0.000
Energy of formation, eV per formula unit: 1.10
Space-group type: Fd-3m (227)
E_tot, eV per cell: -30.18

The structure in CIF format:
```
data_La2Sc
_chemical_formula_sum 'La4 Sc2'
_space_group_name_H-M_alt 'P 1'
_space_group_IT_number 1
_space_group_name_Hall 'P 1'
_cell_length_a 6.578
_cell_length_b 6.578
_cell_length_c 6.578
_cell_angle_alpha 60.00
_cell_angle_beta 60.00
_cell_angle_gamma 60.00
loop_
_atom_site_label
_atom_site_fract_x
_atom_site_fract_y
_atom_site_fract_z
La1 0.125 0.125 0.125
La2 0.125 0.625 0.125
La3 0.125 0.125 0.625
La4 0.625 0.125 0.125
Sc1 0.500 0.500 0.500
Sc2 0.750 0.750 0.750
```



A relaxed TlAgRhO4 crystal. Source: Alexandria, functional PBE.

Results
V, Å³ per cell: 203
Spin magnetization, μB per atom: 0.111
Space-group type: Imma (74)
Formation energy from raw total energies, eV/f.u.: -3.7
E_tot, eV per cell: -72.11

The structure in CIF format:
```
data_TlAgRhO4
_chemical_formula_sum 'Tl2 Ag2 Rh2 O8'
_space_group_name_H-M_alt 'P 1'
_space_group_IT_number 1
_space_group_name_Hall 'P 1'
_cell_length_a 6.267
_cell_length_b 6.631
_cell_length_c 6.824
_cell_angle_alpha 120.97
_cell_angle_beta 90.00
_cell_angle_gamma 118.20
loop_
_atom_site_label
_atom_site_fract_x
_atom_site_fract_y
_atom_site_fract_z
Tl1 0.500 0.000 0.500
Tl2 0.500 0.000 0.000
Ag1 0.868 0.735 0.118
Ag2 0.132 0.265 0.882
Rh1 0.500 0.500 0.500
Rh2 0.000 0.500 0.500
O1 0.745 0.491 0.692
O2 0.299 0.081 0.291
O3 0.782 0.081 0.291
O4 0.745 0.491 0.299
O5 0.255 0.509 0.701
O6 0.701 0.919 0.709
O7 0.218 0.919 0.709
O8 0.255 0.509 0.308
```



A relaxed Er12Cu6Hg crystal. Source: Alexandria, functional PBE.

Results
V, Å³ per cell: 459
Spin magnetization, μB per atom: 0.000
Energy of formation, eV per formula unit: -4.06
Space-group type: Im-3 (204)
E_tot, eV per cell: -83.70

The structure in CIF format:
```
data_Er12Cu6Hg
_chemical_formula_sum 'Er12 Cu6 Hg1'
_space_group_name_H-M_alt 'P 1'
_space_group_IT_number 1
_space_group_name_Hall 'P 1'
_cell_length_a 8.414
_cell_length_b 8.414
_cell_length_c 8.414
_cell_angle_alpha 109.47
_cell_angle_beta 109.47
_cell_angle_gamma 109.47
loop_
_atom_site_label
_atom_site_fract_x
_atom_site_fract_y
_atom_site_fract_z
Er1 0.294 0.105 0.811
Er2 0.294 0.483 0.189
Er3 0.706 0.517 0.811
Er4 0.706 0.895 0.189
Er5 0.105 0.811 0.294
Er6 0.483 0.189 0.294
Er7 0.517 0.811 0.706
Er8 0.895 0.189 0.706
Er9 0.811 0.294 0.105
Er10 0.189 0.294 0.483
Er11 0.811 0.706 0.517
Er12 0.189 0.706 0.895
Cu1 0.375 0.500 0.875
Cu2 0.625 0.500 0.125
Cu3 0.500 0.875 0.375
Cu4 0.500 0.125 0.625
Cu5 0.875 0.375 0.500
Cu6 0.125 0.625 0.500
Hg1 0.000 0.000 0.000
```



A relaxed BaSnAs2 crystal. Source: Alexandria, functional PBE.

Results
V, Å³ per cell: 1048
Spin magnetization, μB per atom: 0.000
Energy of formation, eV per formula unit: -2.48
Space-group type: C2/c (15)
E_tot, eV per cell: -141.67

The structure in CIF format:
```
data_BaSnAs2
_chemical_formula_sum 'Ba8 Sn8 As16'
_space_group_name_H-M_alt 'P 1'
_space_group_IT_number 1
_space_group_name_Hall 'P 1'
_cell_length_a 8.272
_cell_length_b 8.272
_cell_length_c 15.554
_cell_angle_alpha 82.85
_cell_angle_beta 82.85
_cell_angle_gamma 89.42
loop_
_atom_site_label
_atom_site_fract_x
_atom_site_fract_y
_atom_site_fract_z
Ba1 0.661 0.757 0.874
Ba2 0.243 0.339 0.626
Ba3 0.339 0.243 0.126
Ba4 0.757 0.661 0.374
Ba5 0.183 0.847 0.606
Ba6 0.153 0.817 0.894
Ba7 0.817 0.153 0.394
Ba8 0.847 0.183 0.106
Sn1 0.418 0.297 0.842
Sn2 0.703 0.582 0.658
Sn3 0.582 0.703 0.158
Sn4 0.297 0.418 0.342
Sn5 0.708 0.087 0.653
Sn6 0.913 0.292 0.847
Sn7 0.292 0.913 0.347
Sn8 0.087 0.708 0.153
As1 0.636 0.337 0.949
As2 0.663 0.364 0.551
As3 0.364 0.663 0.051
As4 0.337 0.636 0.449
As5 0.426 0.038 0.753
As6 0.962 0.574 0.747
As7 0.574 0.962 0.247
As8 0.038 0.426 0.253
As9 0.783 0.853 0.551
As10 0.147 0.217 0.949
As11 0.217 0.147 0.449
As12 0.853 0.783 0.051
As13 0.948 0.052 0.750
As14 0.052 0.948 0.250
As15 0.405 0.595 0.750
As16 0.595 0.405 0.250
```



A relaxed SiSbI2N crystal. Source: Alexandria, functional PBE.

Results
V, Å³ per cell: 118
Spin magnetization, μB per atom: 0.000
Space-group type: P4/mmm (123)
Formation energy from raw total energies, eV/f.u.: 5.6
E_tot, eV per cell: -15.36

The structure in CIF format:
```
data_SiSbI2N
_chemical_formula_sum 'Si1 Sb1 I2 N1'
_space_group_name_H-M_alt 'P 1'
_space_group_IT_number 1
_space_group_name_Hall 'P 1'
_cell_length_a 4.872
_cell_length_b 4.872
_cell_length_c 4.955
_cell_angle_alpha 90.00
_cell_angle_beta 90.00
_cell_angle_gamma 90.00
loop_
_atom_site_label
_atom_site_fract_x
_atom_site_fract_y
_atom_site_fract_z
I1 0.000 0.500 0.000
I2 0.500 0.000 0.000
Sb1 0.000 0.000 0.500
Si1 0.500 0.500 0.500
N1 0.000 0.000 0.000
```



A relaxed Ga2HgSb crystal. Source: Alexandria, functional PBE.

Results
V, Å³ per cell: 128
Spin magnetization, μB per atom: 0.000
Space-group type: R-3m (166)
Formation energy from raw total energies, eV/f.u.: 0.3
E_tot, eV per cell: -10.16

The structure in CIF format:
```
data_Ga2HgSb
_chemical_formula_sum 'Ga2 Hg1 Sb1'
_space_group_name_H-M_alt 'P 1'
_space_group_IT_number 1
_space_group_name_Hall 'P 1'
_cell_length_a 4.233
_cell_length_b 4.233
_cell_length_c 8.615
_cell_angle_alpha 75.78
_cell_angle_beta 75.78
_cell_angle_gamma 60.00
loop_
_atom_site_label
_atom_site_fract_x
_atom_site_fract_y
_atom_site_fract_z
Sb1 0.500 0.500 0.500
Hg1 0.000 0.000 0.000
Ga1 0.109 0.109 0.672
Ga2 0.891 0.891 0.328
```



A relaxed YFeSe2 crystal. Source: Alexandria, functional PBE.

Results
V, Å³ per cell: 117
Spin magnetization, μB per atom: 0.750
Space-group type: R-3m (166)
Formation energy from raw total energies, eV/f.u.: -2.9
E_tot, eV per cell: -24.75

The structure in CIF format:
```
data_YFeSe2
_chemical_formula_sum 'Y1 Fe1 Se2'
_space_group_name_H-M_alt 'P 1'
_space_group_IT_number 1
_space_group_name_Hall 'P 1'
_cell_length_a 8.145
_cell_length_b 8.145
_cell_length_c 8.145
_cell_angle_alpha 29.59
_cell_angle_beta 29.59
_cell_angle_gamma 29.59
loop_
_atom_site_label
_atom_site_fract_x
_atom_site_fract_y
_atom_site_fract_z
Y1 0.500 0.500 0.500
Fe1 0.000 0.000 0.000
Se1 0.900 0.900 0.900
Se2 0.100 0.100 0.100
```